1.
A plane-wave DFT calculation with SCAN was carried out for a PBEsol-optimized structure of Be2CuPd2.

Unit cell a=6.371 b=6.371 c=2.773 alpha=90.00 beta=90.00 gamma=90.00
Atoms (fractional coordinates):
Be 0.130 0.370 0.000
Be 0.370 0.870 0.000
Be 0.630 0.130 0.000
Be 0.870 0.630 0.000
Cu 0.000 0.000 0.000
Cu 0.500 0.500 0.000
Pd 0.166 0.666 0.500
Pd 0.334 0.166 0.500
Pd 0.666 0.834 0.500
Pd 0.834 0.334 0.500

Magnetization, μB per atom: 0.000
DFT total energy, eV for the cell shown: -183.7
ΔH_f (0 K), eV per atom: -0.481


2.
A plane-wave DFT calculation with SCAN was carried out for a PBEsol-optimized structure of GdCuS2.

Unit cell a=6.284 b=6.971 c=6.667 alpha=90.00 beta=97.29 gamma=90.00
Atoms (fractional coordinates):
Gd 0.192 0.050 0.302
Gd 0.192 0.450 0.802
Gd 0.808 0.550 0.198
Gd 0.808 0.950 0.698
Cu 0.425 0.663 0.449
Cu 0.425 0.837 0.949
Cu 0.575 0.163 0.051
Cu 0.575 0.337 0.551
S 0.081 0.726 0.499
S 0.081 0.774 0.999
S 0.405 0.111 0.721
S 0.405 0.389 0.221
S 0.595 0.611 0.779
S 0.595 0.889 0.279
S 0.919 0.226 0.001
S 0.919 0.274 0.501

Raw formation energy, eV/atom: -1.5485
Magnetization, μB per atom: 1.749
DFT total energy, eV for the cell shown: -397.9


3.
A plane-wave DFT calculation with SCAN was carried out for a PBEsol-optimized structure of LaTc2TeS.

Unit cell a=4.845 b=4.845 c=5.311 alpha=90.00 beta=90.00 gamma=90.00
Atoms (fractional coordinates):
La 0.000 0.000 0.000
Tc 0.000 0.500 0.000
Tc 0.500 0.000 0.000
Te 0.500 0.500 0.500
S 0.000 0.000 0.500

Raw formation energy, eV/atom: 1.5241
Magnetization, μB per atom: 0.773
DFT total energy, eV for the cell shown: -152.5


4.
A plane-wave DFT calculation with SCAN was carried out for a PBEsol-optimized structure of LiV3O8.

Unit cell a=5.475 b=5.475 c=5.538 alpha=90.00 beta=90.00 gamma=120.00
Atoms (fractional coordinates):
Li 0.000 0.000 0.000
V 0.000 0.000 0.500
V 0.333 0.667 0.792
V 0.667 0.333 0.208
O 0.156 0.312 0.700
O 0.156 0.844 0.700
O 0.312 0.156 0.300
O 0.333 0.667 0.082
O 0.667 0.333 0.918
O 0.688 0.844 0.700
O 0.844 0.156 0.300
O 0.844 0.688 0.300

Raw formation energy, eV/atom: -2.4201
Magnetization, μB per atom: 0.000
DFT total energy, eV for the cell shown: -133.7
Relative energy among the computed polymorphs, meV per atom: 96


5.
A plane-wave DFT calculation with SCAN was carried out for a PBEsol-optimized structure of Ca2CoCu.

Unit cell a=3.554 b=4.470 c=10.379 alpha=90.00 beta=90.00 gamma=90.00
Atoms (fractional coordinates):
Ca 0.000 0.000 0.000
Ca 0.000 0.500 0.220
Ca 0.500 0.000 0.720
Ca 0.500 0.500 0.500
Co 0.000 0.000 0.431
Co 0.500 0.500 0.931
Cu 0.000 0.500 0.785
Cu 0.500 0.000 0.285

Magnetization, μB per atom: 0.354
DFT total energy, eV for the cell shown: -102.1
ΔH_f (0 K), eV per atom: 0.191


6.
A plane-wave DFT calculation with SCAN was carried out for a PBEsol-optimized structure of TcSb2TeH.

Unit cell a=5.070 b=5.070 c=5.146 alpha=90.00 beta=90.00 gamma=90.00
Atoms (fractional coordinates):
Tc 0.000 0.000 0.000
Sb 0.000 0.500 0.000
Sb 0.500 0.000 0.000
Te 0.000 0.000 0.500
H 0.500 0.500 0.500

Magnetization, μB per atom: 0.000
DFT total energy, eV for the cell shown: -145.7


7.
A plane-wave DFT calculation with SCAN was carried out for a PBEsol-optimized structure of CrCo2Os.

Unit cell a=3.596 b=3.596 c=6.970 alpha=90.00 beta=90.00 gamma=90.00
Atoms (fractional coordinates):
Cr 0.000 0.000 0.000
Cr 0.500 0.500 0.500
Co 0.000 0.000 0.500
Co 0.000 0.500 0.250
Co 0.500 0.000 0.750
Co 0.500 0.500 0.000
Os 0.000 0.500 0.750
Os 0.500 0.000 0.250

Magnetization, μB per atom: 0.436
DFT total energy, eV for the cell shown: -248.8
ΔH_f (0 K), eV per atom: 0.123
Relative energy among the computed polymorphs, meV per atom: 32


8.
A plane-wave DFT calculation with SCAN was carried out for a PBEsol-optimized structure of Sc3Sb.

Unit cell a=4.266 b=4.266 c=9.625 alpha=90.00 beta=90.00 gamma=90.00
Atoms (fractional coordinates):
Sc 0.000 0.000 0.000
Sc 0.000 0.500 0.250
Sc 0.000 0.500 0.750
Sc 0.500 0.000 0.250
Sc 0.500 0.000 0.750
Sc 0.500 0.500 0.500
Sb 0.000 0.000 0.500
Sb 0.500 0.500 0.000

Raw formation energy, eV/atom: -0.5493
Magnetization, μB per atom: 0.388
DFT total energy, eV for the cell shown: -164.3
Relative energy among the computed polymorphs, meV per atom: 0


9.
A plane-wave DFT calculation with SCAN was carried out for a PBEsol-optimized structure of BSbW3.

Unit cell a=4.233 b=4.233 c=4.233 alpha=90.00 beta=90.00 gamma=90.00
Atoms (fractional coordinates):
B 0.000 0.000 0.000
Sb 0.500 0.500 0.500
W 0.000 0.000 0.500
W 0.000 0.500 0.000
W 0.500 0.000 0.000

Raw formation energy, eV/atom: 0.6523
Magnetization, μB per atom: 0.000
DFT total energy, eV for the cell shown: -250.5


10.
A plane-wave DFT calculation with SCAN was carried out for a PBEsol-optimized structure of Ba4Sm4Zn3PtO15.

Unit cell a=11.631 b=11.631 c=6.683 alpha=90.00 beta=90.00 gamma=120.00
Atoms (fractional coordinates):
Ba 0.172 0.344 0.000
Ba 0.172 0.828 0.000
Ba 0.333 0.667 0.318
Ba 0.344 0.172 0.500
Ba 0.656 0.828 0.000
Ba 0.667 0.333 0.818
Ba 0.828 0.172 0.500
Ba 0.828 0.656 0.500
Sm 0.000 0.000 0.325
Sm 0.000 0.000 0.825
Sm 0.046 0.523 0.655
Sm 0.477 0.523 0.655
Sm 0.477 0.954 0.655
Sm 0.523 0.046 0.155
Sm 0.523 0.477 0.155
Sm 0.954 0.477 0.155
Zn 0.171 0.342 0.483
Zn 0.171 0.829 0.483
Zn 0.342 0.171 0.983
Zn 0.658 0.829 0.483
Zn 0.829 0.171 0.983
Zn 0.829 0.658 0.983
Pt 0.333 0.667 0.840
Pt 0.667 0.333 0.340
O 0.057 0.396 0.355
O 0.057 0.661 0.355
O 0.083 0.166 0.594
O 0.083 0.917 0.594
O 0.164 0.582 0.998
O 0.166 0.083 0.094
O 0.251 0.502 0.667
O 0.251 0.749 0.667
O 0.339 0.396 0.355
O 0.339 0.943 0.355
O 0.396 0.057 0.855
O 0.396 0.339 0.855
O 0.418 0.582 0.998
O 0.418 0.836 0.998
O 0.498 0.749 0.667
O 0.502 0.251 0.167
O 0.582 0.164 0.498
O 0.582 0.418 0.498
O 0.604 0.661 0.355
O 0.604 0.943 0.355
O 0.661 0.057 0.855
O 0.661 0.604 0.855
O 0.749 0.251 0.167
O 0.749 0.498 0.167
O 0.834 0.917 0.594
O 0.836 0.418 0.498
O 0.917 0.083 0.094
O 0.917 0.834 0.094
O 0.943 0.339 0.855
O 0.943 0.604 0.855

Raw formation energy, eV/atom: -2.7377
Magnetization, μB per atom: 0.000
DFT total energy, eV for the cell shown: -1228.2


11.
A plane-wave DFT calculation with SCAN was carried out for a PBEsol-optimized structure of ErLuRu2.

Unit cell a=6.588 b=6.588 c=6.588 alpha=90.00 beta=90.00 gamma=90.00
Atoms (fractional coordinates):
Er 0.000 0.000 0.000
Er 0.000 0.500 0.500
Er 0.500 0.000 0.500
Er 0.500 0.500 0.000
Lu 0.000 0.000 0.500
Lu 0.000 0.500 0.000
Lu 0.500 0.000 0.000
Lu 0.500 0.500 0.500
Ru 0.250 0.250 0.250
Ru 0.250 0.250 0.750
Ru 0.250 0.750 0.250
Ru 0.250 0.750 0.750
Ru 0.750 0.250 0.250
Ru 0.750 0.250 0.750
Ru 0.750 0.750 0.250
Ru 0.750 0.750 0.750

Magnetization, μB per atom: 0.000
DFT total energy, eV for the cell shown: -710.2
ΔH_f (0 K), eV per atom: -0.552


12.
A plane-wave DFT calculation with SCAN was carried out for a PBEsol-optimized structure of KBa2Ir.

Unit cell a=7.803 b=4.500 c=11.229 alpha=90.00 beta=102.94 gamma=90.00
Atoms (fractional coordinates):
K 0.000 0.000 0.000
K 0.500 0.500 0.000
Ba 0.213 0.000 0.644
Ba 0.287 0.500 0.356
Ba 0.713 0.500 0.644
Ba 0.787 0.000 0.356
Ir 0.000 0.500 0.500
Ir 0.500 0.000 0.500

Magnetization, μB per atom: 0.000
DFT total energy, eV for the cell shown: -317.6
ΔH_f (0 K), eV per atom: -0.064